1.
Density functional theory data (GGA-PBE) for an optimized crystal structure of NdBi2IO4.

Calculated values
As for the uncorrected formation energy: -15.02 eV per formula unit. As for the space group: No. 123. For the total magnetization, the calculation gives 0.0000 μB/atom.

Cell lengths 4.0099, 4.0099, 9.8135 Å; angles 90.00, 90.00, 90.00 degrees
Last column: nearest neighbours and their distance in Å.
Sites, in units of the cell vectors:
Nd 0.0000 0.0000 0.0000  8 O 2.48
Bi 0.5000 0.5000 0.2590  4 O 2.28
Bi 0.5000 0.5000 0.7410  4 O 2.28
I 0.0000 0.0000 0.5000  8 Bi 3.69, 8 O 3.99, 4 I 4.01
O 0.0000 0.5000 0.1490  2 Bi 2.28, 2 Nd 2.48
O 0.0000 0.5000 0.8510  2 Bi 2.28, 2 Nd 2.48
O 0.5000 0.0000 0.1490  2 Bi 2.28, 2 Nd 2.48
O 0.5000 0.0000 0.8510  2 Bi 2.28, 2 Nd 2.48

***

2.
Density functional theory data (GGA-PBE) for an optimized crystal structure of LaBi3Ru.

Calculated values
As for the space group: No. 221. For the total magnetization, the calculation gives 0.5577 μB/atom. The distance to the lowest polymorph of the same formula is 1357.9 meV/atom. The energy relative to the elements comes out at 1.440 eV per atom.

Cell lengths 6.0686, 6.0686, 6.0686 Å; angles 90.00, 90.00, 90.00 degrees
Last column: nearest neighbours and their distance in Å.
Sites, in units of the cell vectors:
La 0.0000 0.0000 0.0000  6 Bi 3.03
Bi 0.0000 0.0000 0.5000  2 La 3.03
Bi 0.0000 0.5000 0.0000  2 La 3.03
Bi 0.5000 0.0000 0.0000  2 La 3.03
Ru 0.5000 0.5000 0.5000  12 Bi 4.29

***

3.
Density functional theory data (GGA-PBE) for an optimized crystal structure of Fe2SiSb.

Calculated values
As for the uncorrected formation energy: 0.07 eV per formula unit. As for the space group: No. 44. For the total magnetization, the calculation gives 0.5807 μB/atom.

Cell lengths 6.3002, 6.3002, 6.3002 Å; angles 153.47, 148.10, 41.96 degrees
Last column: nearest neighbours and their distance in Å.
Sites, in units of the cell vectors:
Fe 0.0000 0.0000 0.0000  4 Si 2.36
Fe 0.8078 0.3078 0.5000  2 Si 2.34
Si 0.4411 0.4411 0.0000  6 Fe 2.34-2.36
Sb 0.1886 0.6886 0.5000  6 Fe 2.65-2.66, 2 Sb 2.89

***

4.
Density functional theory data (GGA-PBE) for an optimized crystal structure of RbMnTlV2.

Calculated values
As for the space group: No. 123. For the total magnetization, the calculation gives 1.5072 μB/atom. The energy relative to the elements comes out at 1.825 eV per atom.

Cell lengths 5.3778, 5.3778, 5.1083 Å; angles 90.00, 90.00, 90.00 degrees
Last column: nearest neighbours and their distance in Å.
Sites, in units of the cell vectors:
Rb 0.0000 0.0000 0.0000  8 V 3.71, 4 Mn 3.80
Mn 0.5000 0.5000 0.0000  2 Tl 2.55
Tl 0.5000 0.5000 0.5000  2 Mn 2.55, 4 V 2.69
V 0.0000 0.5000 0.5000  2 Tl 2.69
V 0.5000 0.0000 0.5000  2 Tl 2.69

***

5.
Density functional theory data (GGA-PBE) for an optimized crystal structure of MnMoIr2.

Calculated values
As for the space group: No. 166. For the total magnetization, the calculation gives 0.8245 μB/atom. The distance to the lowest polymorph of the same formula is 183.6 meV/atom. The energy relative to the elements comes out at -0.069 eV per atom.

Cell lengths 8.8817, 8.8817, 8.8817 Å; angles 18.05, 18.05, 18.05 degrees
Last column: nearest neighbours and their distance in Å.
Sites, in units of the cell vectors:
Mn 0.0000 0.0000 0.0000  6 Ir 2.68, 6 Mn 2.79
Mo 0.5000 0.5000 0.5000  6 Ir 2.74, 6 Mo 2.79
Ir 0.2513 0.2513 0.2513  3 Mn 2.68, 3 Mo 2.74, 6 Ir 2.79
Ir 0.7487 0.7487 0.7487  3 Mn 2.68, 3 Mo 2.74, 6 Ir 2.79

***

6.
Density functional theory data (GGA-PBE) for an optimized crystal structure of SnPt2Rh.

Calculated values
As for the space group: No. 122. For the total magnetization, the calculation gives 0.0000 μB/atom. The energy relative to the elements comes out at -0.078 eV per atom.

Cell lengths 10.0069, 10.0069, 10.0069 Å; angles 157.84, 157.84, 31.54 degrees
Last column: nearest neighbours and their distance in Å.
Sites, in units of the cell vectors:
Sn 0.0000 0.0000 0.0000  4 Rh 2.72, 4 Pt 2.78
Sn 0.7500 0.2500 0.5000  4 Rh 2.72, 4 Pt 2.78
Pt 0.1342 0.6250 0.0092  4 Pt 2.67-2.77, 2 Rh 2.75, 2 Sn 2.78
Pt 0.3750 0.3842 0.5092  4 Pt 2.67-2.77, 2 Rh 2.75, 2 Sn 2.78
Pt 0.6158 0.1250 0.9908  4 Pt 2.67-2.77, 2 Rh 2.75, 2 Sn 2.78
Pt 0.8750 0.8658 0.4908  4 Pt 2.67-2.77, 2 Rh 2.75, 2 Sn 2.78
Rh 0.2500 0.7500 0.5000  4 Sn 2.72, 4 Pt 2.75
Rh 0.5000 0.5000 0.0000  4 Sn 2.72, 4 Pt 2.75

***

7.
Density functional theory data (GGA-PBE) for an optimized crystal structure of NpFeRu2.

Calculated values
As for the space group: No. 123. For the total magnetization, the calculation gives 0.2950 μB/atom. The energy relative to the elements comes out at 0.110 eV per atom.

Cell lengths 3.2882, 3.2882, 5.8978 Å; angles 90.00, 90.00, 90.00 degrees
Last column: nearest neighbours and their distance in Å.
Sites, in units of the cell vectors:
Np 0.0000 0.0000 0.0000  8 Ru 2.78, 2 Fe 2.95
Fe 0.0000 0.0000 0.5000  8 Ru 2.73, 2 Np 2.95
Ru 0.5000 0.5000 0.2589  4 Fe 2.73, 4 Np 2.78, 1 Ru 2.84
Ru 0.5000 0.5000 0.7411  4 Fe 2.73, 4 Np 2.78, 1 Ru 2.84

***

8.
Density functional theory data (GGA-PBE) for an optimized crystal structure of SrBiAs.

Calculated values
As for the space group: No. 63. For the total magnetization, the calculation gives 0.0000 μB/atom. The distance to the lowest polymorph of the same formula is 0.0 meV/atom. The energy relative to the elements comes out at -0.687 eV per atom.

Cell lengths 9.6326, 9.6326, 4.4502 Å; angles 90.00, 90.00, 152.93 degrees
Last column: nearest neighbours and their distance in Å.
Sites, in units of the cell vectors:
Sr 0.0930 0.9070 0.7500  6 As 3.30-3.35, 2 Bi 3.55
Sr 0.9070 0.0930 0.2500  6 As 3.30-3.35, 2 Bi 3.55
Bi 0.2609 0.7391 0.2500  4 Bi 3.19, 2 Sr 3.55
Bi 0.7391 0.2609 0.7500  4 Bi 3.19, 2 Sr 3.55
As 0.4645 0.5355 0.7500  2 As 2.59
As 0.5355 0.4645 0.2500  2 As 2.59

***

9.
Density functional theory data (GGA-PBE) for an optimized crystal structure of Ac2MnGe3Ir4.

Calculated values
As for the space group: No. 115. For the total magnetization, the calculation gives 0.3614 μB/atom. The energy relative to the elements comes out at -0.651 eV per atom.

Cell lengths 4.2883, 4.2883, 10.7175 Å; angles 90.00, 90.00, 90.00 degrees
Last column: nearest neighbours and their distance in Å.
Sites, in units of the cell vectors:
Ac 0.0000 0.5000 0.2473  8 Ir 3.26-3.45, 6 Ge 3.33-3.41, 2 Mn 3.41
Ac 0.5000 0.0000 0.7527  8 Ir 3.26-3.45, 6 Ge 3.33-3.41, 2 Mn 3.41
Mn 0.5000 0.5000 0.0000  4 Ir 2.59
Ge 0.0000 0.0000 0.0000  4 Ir 2.59
Ge 0.0000 0.5000 0.6253  5 Ir 2.53-2.57
Ge 0.5000 0.0000 0.3747  5 Ir 2.53-2.57
Ir 0.0000 0.0000 0.5000  4 Ge 2.53
Ir 0.0000 0.5000 0.8652  3 Ge 2.57-2.59, 2 Mn 2.59
Ir 0.5000 0.0000 0.1348  3 Ge 2.57-2.59, 2 Mn 2.59
Ir 0.5000 0.5000 0.5000  4 Ge 2.53

***

10.
Density functional theory data (GGA-PBE) for an optimized crystal structure of PmHo2Pa.

Calculated values
As for the space group: No. 123. For the total magnetization, the calculation gives 0.0098 μB/atom. The distance to the lowest polymorph of the same formula is 0.0 meV/atom. The energy relative to the elements comes out at 0.126 eV per atom.

Cell lengths 3.4169, 3.4169, 10.2318 Å; angles 90.00, 90.00, 90.00 degrees
Last column: nearest neighbours and their distance in Å.
Sites, in units of the cell vectors:
Pm 0.0000 0.0000 0.0000  4 Pm 3.42, 8 Ho 3.67
Ho 0.5000 0.5000 0.2698  4 Pa 3.37, 4 Ho 3.42, 4 Pm 3.67
Ho 0.5000 0.5000 0.7302  4 Pa 3.37, 4 Ho 3.42, 4 Pm 3.67
Pa 0.0000 0.0000 0.5000  8 Ho 3.37, 4 Pa 3.42

***

> Which value of total magnetization does entry 1 give?

0.0000 μB/atom

***

> Which value of total magnetization does entry 7 give?

0.2950 μB/atom

***

> What is the formula in the tenth record?

PmHo2Pa

***

Please write out number 7 again, unchanged.
Density functional theory data (GGA-PBE) for an optimized crystal structure of NpFeRu2.

Calculated values
As for the space group: No. 123. For the total magnetization, the calculation gives 0.2950 μB/atom. The energy relative to the elements comes out at 0.110 eV per atom.

Cell lengths 3.2882, 3.2882, 5.8978 Å; angles 90.00, 90.00, 90.00 degrees
Last column: nearest neighbours and their distance in Å.
Sites, in units of the cell vectors:
Np 0.0000 0.0000 0.0000  8 Ru 2.78, 2 Fe 2.95
Fe 0.0000 0.0000 0.5000  8 Ru 2.73, 2 Np 2.95
Ru 0.5000 0.5000 0.2589  4 Fe 2.73, 4 Np 2.78, 1 Ru 2.84
Ru 0.5000 0.5000 0.7411  4 Fe 2.73, 4 Np 2.78, 1 Ru 2.84